Entry 1:
Material: La2SbI2
Method: DFT, PBE
State: optimized geometry

## Properties
Raw formation energy in meV per atom: -1431

abc: 4.5739 4.5739 11.5522
angles: 90.00 90.00 120.00
Space group P-3m1 (No. 164)
Symmetry-distinct sites (fractional):
La  0.3333  0.6667  0.3443 [2 per cell]
Sb  0.0000  0.0000  0.5000 [1 per cell]
I  0.3333  0.6667  0.8299 [2 per cell]


Entry 2:
Material: La4SbI3
Method: DFT, PBE
State: optimized geometry

## Properties
Raw formation energy in meV per atom: -1066

abc: 8.8387 12.9858 4.7657
angles: 90.00 90.00 90.00
Space group Cmmm (No. 65)
Symmetry-distinct sites (fractional):
La  0.0000  0.2441  0.0000 [4 per cell]
La  0.2390  0.0000  0.5000 [4 per cell]
Sb  0.0000  0.0000  0.0000 [2 per cell]
I  0.0000  0.5000  0.0000 [2 per cell]
I  0.2500  0.2500  0.5000 [4 per cell]


Entry 3:
Material: La5Sb4I
Method: DFT, PBE
State: optimized geometry

## Properties
Raw formation energy in meV per atom: -1268

abc: 4.6292 6.5255 23.1230
angles: 90.00 90.00 90.00
Space group Immm (No. 71)
Symmetry-distinct sites (fractional):
La  0.0000  0.0000  0.0000 [2 per cell]
La  0.0000  0.0000  0.1991 [4 per cell]
La  0.0000  0.0000  0.3920 [4 per cell]
Sb  0.0000  0.5000  0.2015 [4 per cell]
Sb  0.0000  0.5000  0.4018 [4 per cell]
I  0.0000  0.5000  0.0000 [2 per cell]


Number 1: density 5.18 g cm⁻³. Number 2: density 6.42 g cm⁻³. Number 3: density 6.22 g cm⁻³.